# 1
# BaTe2Ir

A PBEsol-optimized structure of BaTe2Ir (SCAN, the Alexandria database).

Energy above the most stable polymorph in this dataset: 122 meV/atom
Theoretical density: 8.776 g/cm3

Cell and atoms, written as POSCAR:
```
BaTe2Ir
1.0
2.188 1.263 6.671
-2.188 1.263 6.671
0.000 -2.526 6.671
Ba Te Ir
1 2 1
direct
0.000 0.000 0.000
0.221 0.221 0.221
0.779 0.779 0.779
0.500 0.500 0.500
```

# 2
# BaTe2Ir

A PBEsol-optimized structure of BaTe2Ir (SCAN, the Alexandria database).

Energy above the most stable polymorph in this dataset: 30 meV/atom
Theoretical density: 8.066 g/cm3

Cell and atoms, written as POSCAR:
```
BaTe2Ir
1.0
5.706 -2.008 0.000
5.706 2.008 0.000
-2.682 0.000 5.254
Ba Te Ir
1 2 1
direct
0.000 0.000 0.000
0.180 0.180 0.643
0.356 0.356 0.319
0.755 0.755 0.452
```

# 3
# BaTe2Ir

A PBEsol-optimized structure of BaTe2Ir (SCAN, the Alexandria database).

Energy above the most stable polymorph in this dataset: 14 meV/atom
Theoretical density: 8.348 g/cm3

Cell and atoms, written as POSCAR:
```
BaTe2Ir
1.0
-1.995 3.107 4.690
1.995 -3.107 4.690
1.995 3.107 -4.690
Ba Te Ir
1 2 1
direct
0.000 0.000 0.000
0.321 0.821 0.500
0.679 0.179 0.500
0.500 0.500 0.000
```

# 4
# BaTe2Ir

A PBEsol-optimized structure of BaTe2Ir (SCAN, the Alexandria database).

Energy above the most stable polymorph in this dataset: 0 meV/atom
Theoretical density: 8.305 g/cm3

Cell and atoms, written as POSCAR:
```
BaTe2Ir
1.0
3.227 -4.396 0.000
3.227 4.396 0.000
0.000 0.000 4.120
Ba Te Ir
1 2 1
direct
0.000 0.000 0.000
0.316 0.684 0.500
0.684 0.316 0.500
0.500 0.500 0.000
```

# 5
# BaTi2Ir

A PBEsol-optimized structure of BaTi2Ir (SCAN, the Alexandria database).

Theoretical density: 9.623 g/cm3
Formation enthalpy at 0 K: 7.168 kcal/mol of atoms

Cell and atoms, written as POSCAR:
```
BaTi2Ir
1.0
0.000 3.323 3.323
3.323 0.000 3.323
3.323 3.323 0.000
Ba Ti Ir
1 2 1
direct
0.000 0.000 0.000
0.250 0.250 0.250
0.750 0.750 0.750
0.500 0.500 0.500
```

# 6
# BaTl2Ir

A PBEsol-optimized structure of BaTl2Ir (SCAN, the Alexandria database).

Theoretical density: 12.515 g/cm3
Formation enthalpy at 0 K: 2.030 kcal/mol of atoms

Cell and atoms, written as POSCAR:
```
BaTl2Ir
1.0
3.317 0.000 0.000
0.000 3.730 0.000
0.000 0.000 7.917
Ba Tl Ir
1 2 1
direct
0.000 0.000 0.000
0.500 0.500 0.310
0.500 0.500 0.690
0.000 0.000 0.500
```

# 7
# Ba3TlIr

A PBEsol-optimized structure of Ba3TlIr (SCAN, the Alexandria database).

Theoretical density: 5.491 g/cm3
Formation enthalpy at 0 K: 17.552 kcal/mol of atoms

Cell and atoms, written as POSCAR:
```
Ba3TlIr
1.0
6.253 0.000 0.000
0.000 6.253 0.000
0.000 0.000 6.253
Ba Tl Ir
3 1 1
direct
0.000 0.000 0.500
0.000 0.500 0.000
0.500 0.000 0.000
0.000 0.000 0.000
0.500 0.500 0.500
```

# 8
# BaTl2Ir

A PBEsol-optimized structure of BaTl2Ir (SCAN, the Alexandria database).

Theoretical density: 10.936 g/cm3
Formation enthalpy at 0 K: -2.900 kcal/mol of atoms

Cell and atoms, written as POSCAR:
```
BaTl2Ir
1.0
2.365 1.365 5.786
-2.365 1.365 5.786
0.000 -2.731 5.786
Ba Tl Ir
1 2 1
direct
0.000 0.000 0.000
0.210 0.210 0.210
0.454 0.454 0.454
0.813 0.813 0.813
```

# 9
# BaTl2Ir

A PBEsol-optimized structure of BaTl2Ir (SCAN, the Alexandria database).

Theoretical density: 11.757 g/cm3
Formation enthalpy at 0 K: 2.739 kcal/mol of atoms

Cell and atoms, written as POSCAR:
```
BaTl2Ir
1.0
3.644 0.000 0.000
0.000 3.644 0.000
0.000 0.000 7.855
Ba Tl Ir
1 2 1
direct
0.000 0.000 0.000
0.000 0.000 0.416
0.500 0.500 0.661
0.500 0.500 0.271
```

# 10
# Ba2TlIr

A PBEsol-optimized structure of Ba2TlIr (SCAN, the Alexandria database).

Theoretical density: 9.092 g/cm3
Formation enthalpy at 0 K: -3.251 kcal/mol of atoms

Cell and atoms, written as POSCAR:
```
Ba2TlIr
1.0
-1.906 2.713 5.926
1.906 -2.713 5.926
1.906 2.713 -5.926
Ba Tl Ir
2 1 1
direct
0.000 0.000 0.000
0.689 0.189 0.500
0.306 0.806 0.500
0.473 0.473 0.000
```

# 11
# BaTl2Ir

A PBEsol-optimized structure of BaTl2Ir (SCAN, the Alexandria database).

Theoretical density: 11.719 g/cm3
Formation enthalpy at 0 K: -0.271 kcal/mol of atoms

Cell and atoms, written as POSCAR:
```
BaTl2Ir
1.0
-1.675 2.827 5.523
1.675 -2.827 5.523
1.675 2.827 -5.523
Ba Tl Ir
1 2 1
direct
0.000 0.000 0.000
0.296 0.796 0.500
0.704 0.204 0.500
0.500 0.500 0.000
```

# 12
# BaIrW2

A PBEsol-optimized structure of BaIrW2 (SCAN, the Alexandria database).

Energy above the most stable polymorph in this dataset: 775 meV/atom
Theoretical density: 15.334 g/cm3
Formation enthalpy at 0 K: 34.273 kcal/mol of atoms

Cell and atoms, written as POSCAR:
```
BaIrW2
1.0
2.949 0.000 0.000
0.000 5.035 0.000
0.000 0.000 5.085
Ba Ir W
1 1 2
direct
0.000 0.000 0.000
0.500 0.000 0.500
0.000 0.500 0.500
0.500 0.500 0.000
```

# 13
# BaIrW2

A PBEsol-optimized structure of BaIrW2 (SCAN, the Alexandria database).

Energy above the most stable polymorph in this dataset: 278 meV/atom
Theoretical density: 12.889 g/cm3
Formation enthalpy at 0 K: 22.798 kcal/mol of atoms

Cell and atoms, written as POSCAR:
```
BaIrW2
1.0
3.053 0.000 0.000
0.000 4.631 0.000
-1.354 0.000 6.353
Ba Ir W
1 1 2
direct
0.000 0.000 0.000
0.500 0.000 0.500
0.304 0.500 0.650
0.696 0.500 0.350
```

# 14
# BaIrW2

A PBEsol-optimized structure of BaIrW2 (SCAN, the Alexandria database).

Energy above the most stable polymorph in this dataset: 703 meV/atom
Theoretical density: 15.464 g/cm3
Formation enthalpy at 0 K: 32.614 kcal/mol of atoms

Cell and atoms, written as POSCAR:
```
BaIrW2
1.0
0.000 3.345 3.345
3.345 0.000 3.345
3.345 3.345 0.000
Ba Ir W
1 1 2
direct
0.000 0.000 0.000
0.750 0.750 0.750
0.250 0.250 0.250
0.500 0.500 0.500
```

# 15
# BaIrW2

A PBEsol-optimized structure of BaIrW2 (SCAN, the Alexandria database).

Energy above the most stable polymorph in this dataset: 0 meV/atom
Theoretical density: 14.844 g/cm3
Formation enthalpy at 0 K: 16.393 kcal/mol of atoms

Cell and atoms, written as POSCAR:
```
BaIrW2
1.0
2.908 0.000 0.000
0.000 2.908 0.000
0.000 0.000 9.224
Ba Ir W
1 1 2
direct
0.000 0.000 0.000
0.500 0.500 0.285
0.000 0.000 0.460
0.500 0.500 0.681
```

Number 1: D(E_F) 2.40 states/eV per cell, total DFT energy (no corrections) -187.75 eV per cell. Number 2: D(E_F) 2.08 states/eV per cell, total DFT energy (no corrections) -188.12 eV per cell. Number 3: D(E_F) 2.61 states/eV per cell, total DFT energy (no corrections) -188.18 eV per cell. Number 4: D(E_F) 0.94 states/eV per cell, total DFT energy (no corrections) -188.24 eV per cell. Number 5: D(E_F) 6.14 states/eV per cell, total DFT energy (no corrections) -141.47 eV per cell. Number 6: D(E_F) 1.98 states/eV per cell, total DFT energy (no corrections) -255.01 eV per cell. Number 7: D(E_F) 6.56 states/eV per cell, total DFT energy (no corrections) -258.30 eV per cell. Number 8: D(E_F) 2.18 states/eV per cell, total DFT energy (no corrections) -255.87 eV per cell. Number 9: D(E_F) 2.83 states/eV per cell, total DFT energy (no corrections) -254.89 eV per cell. Number 10: D(E_F) 2.51 states/eV per cell, total DFT energy (no corrections) -223.12 eV per cell. Number 11: D(E_F) 2.36 states/eV per cell, total DFT energy (no corrections) -255.41 eV per cell. Number 12: D(E_F) 3.51 states/eV per cell, total DFT energy (no corrections) -244.08 eV per cell. Number 13: D(E_F) 4.37 states/eV per cell, total DFT energy (no corrections) -246.07 eV per cell. Number 14: D(E_F) 3.35 states/eV per cell, total DFT energy (no corrections) -244.37 eV per cell. Number 15: D(E_F) 2.72 states/eV per cell, total DFT energy (no corrections) -247.18 eV per cell.